! LaSbI GGA-PBE optimized geometry; values from VASP
&SYSTEM
  ibrav = 0, nat = 6, ntyp = 3
/
ATOMIC_SPECIES
La 138.91 La.upf
Sb 121.76 Sb.upf
I 126.90 I.upf
ATOMIC_POSITIONS crystal
La 0.249 0.751 0.750
La 0.751 0.249 0.250
Sb 0.441 0.559 0.250
Sb 0.559 0.441 0.750
I 0.110 0.890 0.250
I 0.890 0.110 0.750
CELL_PARAMETERS angstrom
3.084 -5.418 0.000
3.084 5.418 0.000
0.000 0.000 5.742
! - VASP energy: -4.44 eV per atom
! - Crystal system: orthorhombic
! - Space-group type: Cmcm, No. 63
! - E_form (uncorrected): -907.6 meV/atom
! - Theoretical density: 6.7 g cm⁻³


! LaSbI2 GGA-PBE optimized geometry; values from VASP
&SYSTEM
  ibrav = 0, nat = 4, ntyp = 3
/
ATOMIC_SPECIES
La 138.91 La.upf
Sb 121.76 Sb.upf
I 126.90 I.upf
ATOMIC_POSITIONS crystal
La 0.000 0.000 0.000
Sb 0.500 0.500 0.500
I 0.250 0.250 0.250
I 0.750 0.750 0.750
CELL_PARAMETERS angstrom
0.000 4.015 4.015
4.015 0.000 4.015
4.015 4.015 0.000
! - VASP energy: -3.58 eV per atom
! - Crystal system: cubic
! - Space-group type: Fm-3m, No. 225
! - E_form (uncorrected): -541.9 meV/atom
! - Theoretical density: 6.6 g cm⁻³


! La2SbI GGA-PBE optimized geometry; values from VASP
&SYSTEM
  ibrav = 0, nat = 8, ntyp = 3
/
ATOMIC_SPECIES
La 138.91 La.upf
Sb 121.76 Sb.upf
I 126.90 I.upf
ATOMIC_POSITIONS crystal
La 0.250 0.004 0.232
La 0.250 0.496 0.232
La 0.750 0.504 0.768
La 0.750 0.996 0.768
Sb 0.250 0.750 0.910
Sb 0.750 0.250 0.090
I 0.250 0.250 0.582
I 0.750 0.750 0.418
CELL_PARAMETERS angstrom
4.514 0.000 0.000
0.000 8.171 0.000
0.000 0.000 7.715
! - VASP energy: -5.00 eV per atom
! - Crystal system: orthorhombic
! - Space-group type: Pmmn, No. 59
! - E_form (uncorrected): -1116.0 meV/atom
! - Theoretical density: 6.1 g cm⁻³


! La2SbI2 GGA-PBE optimized geometry; values from VASP
&SYSTEM
  ibrav = 0, nat = 5, ntyp = 3
/
ATOMIC_SPECIES
La 138.91 La.upf
Sb 121.76 Sb.upf
I 126.90 I.upf
ATOMIC_POSITIONS crystal
La 0.115 0.115 0.115
La 0.885 0.885 0.885
Sb 0.500 0.500 0.500
I 0.277 0.277 0.277
I 0.723 0.723 0.723
CELL_PARAMETERS angstrom
2.287 1.320 11.512
-2.287 1.320 11.512
0.000 -2.640 11.512
! - VASP energy: -4.85 eV per atom
! - Crystal system: trigonal
! - Space-group type: R-3m, No. 166
! - E_form (uncorrected): -1430.0 meV/atom
! - Theoretical density: 5.2 g cm⁻³


! LaScSbI2 GGA-PBE optimized geometry; values from VASP
&SYSTEM
  ibrav = 0, nat = 5, ntyp = 4
/
ATOMIC_SPECIES
La 138.91 La.upf
Sc 44.96 Sc.upf
Sb 121.76 Sb.upf
I 126.90 I.upf
ATOMIC_POSITIONS crystal
La 0.000 0.000 0.000
Sc 0.500 0.500 0.500
Sb 0.000 0.000 0.500
I 0.000 0.500 0.000
I 0.500 0.000 0.000
CELL_PARAMETERS angstrom
6.072 0.000 0.000
0.000 6.072 0.000
0.000 0.000 6.380
! - VASP energy: -3.87 eV per atom
! - Crystal system: tetragonal
! - Space-group type: P4/mmm, No. 123
! - E_form (uncorrected): -175.9 meV/atom
! - Theoretical density: 3.9 g cm⁻³


! LaScSbI2 GGA-PBE optimized geometry; values from VASP
&SYSTEM
  ibrav = 0, nat = 5, ntyp = 4
/
ATOMIC_SPECIES
La 138.91 La.upf
Sc 44.96 Sc.upf
Sb 121.76 Sb.upf
I 126.90 I.upf
ATOMIC_POSITIONS crystal
La 0.000 0.000 0.000
Sc 0.500 0.500 0.500
Sb 0.500 0.500 0.000
I 0.000 0.500 0.500
I 0.500 0.000 0.500
CELL_PARAMETERS angstrom
5.502 0.000 0.000
0.000 5.502 0.000
0.000 0.000 5.771
! - VASP energy: -4.31 eV per atom
! - Crystal system: tetragonal
! - Space-group type: P4/mmm, No. 123
! - E_form (uncorrected): -613.6 meV/atom
! - Theoretical density: 5.3 g cm⁻³


Look up the VASP energy of the fourth one.
-4.85 eV per atom